# Bi4Te7Mo (GGA-PBE, relaxed)
data_Bi4Te7Mo
_symmetry_space_group_name_H-M 'P -3 m 1'
_symmetry_Int_Tables_number 164
_symmetry_space_group_name_Hall '-P 3 2"'
_cell_length_a 4.4078
_cell_length_b 4.4078
_cell_length_c 24.1967
_cell_angle_alpha 90.00
_cell_angle_beta 90.00
_cell_angle_gamma 120.00
loop_
_atom_site_label
_atom_site_type_symbol
_atom_site_fract_x
_atom_site_fract_y
_atom_site_fract_z
Bi1 Bi 0.3333 0.6667 0.1550
Bi2 Bi 0.3333 0.6667 0.4165
Te1 Te 0.0000 0.0000 0.2238
Te2 Te 0.0000 0.0000 0.5000
Te3 Te 0.3333 0.6667 0.6557
Te4 Te 0.3333 0.6667 0.9412
Mo1 Mo 0.0000 0.0000 0.0000
# Calculated volume (Å³/atom): 33.93
# Size of the total moment (μB per formula unit): 3.07
# Crystal system: trigonal

# ThBiMo (GGA-PBE, relaxed)
data_ThBiMo
_symmetry_space_group_name_H-M 'F -4 3 m'
_symmetry_Int_Tables_number 216
_symmetry_space_group_name_Hall 'F -4 2 3'
_cell_length_a 7.243
_cell_length_b 7.243
_cell_length_c 7.243
_cell_angle_alpha 90.00
_cell_angle_beta 90.00
_cell_angle_gamma 90.00
loop_
_atom_site_label
_atom_site_type_symbol
_atom_site_fract_x
_atom_site_fract_y
_atom_site_fract_z
Th1 Th 0.000 0.000 0.000
Bi1 Bi 0.250 0.250 0.750
Mo1 Mo 0.250 0.250 0.250
# Calculated volume (Å³/atom): 31.66
# Size of the total moment (μB per formula unit): 2.17
# Crystal system: cubic

# ThBiMo (GGA-PBE, relaxed)
data_ThBiMo
_symmetry_space_group_name_H-M 'F -4 3 m'
_symmetry_Int_Tables_number 216
_symmetry_space_group_name_Hall 'F -4 2 3'
_cell_length_a 7.036
_cell_length_b 7.036
_cell_length_c 7.036
_cell_angle_alpha 90.00
_cell_angle_beta 90.00
_cell_angle_gamma 90.00
loop_
_atom_site_label
_atom_site_type_symbol
_atom_site_fract_x
_atom_site_fract_y
_atom_site_fract_z
Th1 Th 0.000 0.000 0.000
Bi1 Bi 0.250 0.250 0.750
Mo1 Mo 0.000 0.000 0.500
# Calculated volume (Å³/atom): 29.03
# Size of the total moment (μB per formula unit): 1.34
# Crystal system: cubic

# Tl6BiMo (GGA-PBE, relaxed)
data_Tl6BiMo
_symmetry_space_group_name_H-M 'R -3'
_symmetry_Int_Tables_number 148
_symmetry_space_group_name_Hall '-R 3'
_cell_length_a 9.0631
_cell_length_b 9.0631
_cell_length_c 9.5344
_cell_angle_alpha 90.00
_cell_angle_beta 90.00
_cell_angle_gamma 120.00
loop_
_atom_site_label
_atom_site_type_symbol
_atom_site_fract_x
_atom_site_fract_y
_atom_site_fract_z
Tl1 Tl 0.0312 0.2512 0.2059
Bi1 Bi 0.0000 0.0000 0.5000
Mo1 Mo 0.0000 0.0000 0.0000
# Calculated volume (Å³/atom): 28.26
# Size of the total moment (μB per formula unit): 2.48
# Crystal system: trigonal

# Tl2BiMo (GGA-PBE, relaxed)
data_Tl2BiMo
_symmetry_space_group_name_H-M 'F -4 3 m'
_symmetry_Int_Tables_number 216
_symmetry_space_group_name_Hall 'F -4 2 3'
_cell_length_a 7.309
_cell_length_b 7.309
_cell_length_c 7.309
_cell_angle_alpha 90.00
_cell_angle_beta 90.00
_cell_angle_gamma 90.00
loop_
_atom_site_label
_atom_site_type_symbol
_atom_site_fract_x
_atom_site_fract_y
_atom_site_fract_z
Tl1 Tl 0.000 0.000 0.000
Tl2 Tl 0.250 0.250 0.250
Bi1 Bi 0.000 0.000 0.500
Mo1 Mo 0.250 0.250 0.750
# Calculated volume (Å³/atom): 24.41
# Size of the total moment (μB per formula unit): 2.92
# Crystal system: cubic

# UBiMo (GGA-PBE, relaxed)
data_UBiMo
_symmetry_space_group_name_H-M 'F -4 3 m'
_symmetry_Int_Tables_number 216
_symmetry_space_group_name_Hall 'F -4 2 3'
_cell_length_a 6.870
_cell_length_b 6.870
_cell_length_c 6.870
_cell_angle_alpha 90.00
_cell_angle_beta 90.00
_cell_angle_gamma 90.00
loop_
_atom_site_label
_atom_site_type_symbol
_atom_site_fract_x
_atom_site_fract_y
_atom_site_fract_z
U1 U 0.000 0.000 0.000
Bi1 Bi 0.250 0.250 0.250
Mo1 Mo 0.250 0.250 0.750
# Calculated volume (Å³/atom): 27.02
# Size of the total moment (μB per formula unit): 0.51
# Crystal system: cubic

no.,total DFT energy (no corrections) (eV for the cell shown)
1,-49.8
2,-75.7
3,-80.0
4,-77.1
5,-65.6
6,-89.0